TlCrF3: optimized geometry, GGA+U.

Calculated values
As for the space group: Pm-3m, No. 221. The size of the total moment is 4.00 Bohr magnetons per cell. For the total energy, the calculation gives -5.29 eV/atom. For the energy above the most stable polymorph in this dataset, the calculation gives 86 meV/atom.

Cell: 4.2708 4.2708 4.2708 Å, 90.00 90.00 90.00°
Closest atoms and distances in Å follow each position.
Fractional positions:
Tl 0.0000 0.0000 0.0000  12 F 3.02
Cr 0.5000 0.5000 0.5000  6 F 2.14
F 0.0000 0.5000 0.5000  2 Cr 2.14
F 0.5000 0.0000 0.5000  2 Cr 2.14
F 0.5000 0.5000 0.0000  2 Cr 2.14